## CaCrNi (GGA-PBE)

Data for a geometry-optimized CaCrNi structure.

Properties
E (eV/cell): -33.42
V (Å³/cell): 115.2
Relative energy among the computed polymorphs (kJ/mol of atoms): 1.4
N(E_F) (states/eV per cell): 4.24
Energy of formation from the pure elements (eV/atom): 0.232

Unit cell a=4.1031 b=4.1031 c=6.8411 alpha=90.00 beta=90.00 gamma=90.00
Last column: magnetic moment on the atom in μB.
Fractional positions:
Ni1 0.0000 0.5000 0.3289  0.21
Cr1 0.0000 0.0000 0.5000  1.73
Ca1 0.5000 0.0000 0.1598  -0.02
Ni2 0.5000 0.0000 0.6711  0.21
Cr2 0.5000 0.5000 0.5000  1.73
Ca2 0.0000 0.5000 0.8402  -0.02